[1]
## CaSb2TePb (meta-GGA SCAN)

Data for CaSb2TePb at its PBEsol-relaxed geometry.

Output
raw formation energy	271	meV/atom
SG	P4/mmm, No. 123
theoretical density	5.51	g/cm3
size of the total moment	0.00	μB per formula unit

a b c (Å): 5.636 5.636 5.868
angles (deg): 90.00 90.00 90.00
Atoms (fractional coordinates):
Pb (0.000, 0.000, 0.000)
Sb (0.000, 0.500, 0.000)
Sb (0.500, 0.000, 0.000)
Ca (0.500, 0.500, 0.500)
Te (0.000, 0.000, 0.500)



[2]
## CaSc3Pb (meta-GGA SCAN)

Data for CaSc3Pb at its PBEsol-relaxed geometry.

Output
formation enthalpy at 0 K	1009.3	meV per atom
SG	Pm-3m, No. 221
theoretical density	4.83	g/cm3
size of the total moment	0.00	μB per formula unit

a b c (Å): 5.083 5.083 5.083
angles (deg): 90.00 90.00 90.00
Atoms (fractional coordinates):
Pb (0.500, 0.500, 0.500)
Sc (0.000, 0.500, 0.000)
Sc (0.000, 0.000, 0.500)
Sc (0.500, 0.000, 0.000)
Ca (0.000, 0.000, 0.000)



[3]
## CaPb3Se4 (meta-GGA SCAN)

Data for CaPb3Se4 at its PBEsol-relaxed geometry.

Output
raw formation energy	-982	meV/atom
SG	Cmmm, No. 65
theoretical density	7.33	g/cm3
size of the total moment	0.00	μB per formula unit

a b c (Å): 4.270 7.413 7.413
angles (deg): 109.36 90.00 90.00
Atoms (fractional coordinates):
Ca (0.000, 0.500, 0.500)
Pb (0.500, 0.500, 0.000)
Pb (0.500, 0.000, 0.500)
Pb (0.000, 0.000, 0.000)
Se (0.000, 0.255, 0.745)
Se (0.000, 0.745, 0.255)
Se (0.500, 0.741, 0.741)
Se (0.500, 0.259, 0.259)